1.
# PBE CeSbBr, relaxed
data_CeSbBr
_symmetry_space_group_name_H-M 'P 4/n m m'
_symmetry_Int_Tables_number 129
_cell_length_a 4.418
_cell_length_b 4.418
_cell_length_c 9.041
_cell_angle_alpha 90.00
_cell_angle_beta 90.00
_cell_angle_gamma 90.00
loop_
_symmetry_equiv_pos_as_xyz
'x,y,z'
'-x,-y,-z'
'-y+1/2,x,z'
'y+1/2,-x,-z'
'-x+1/2,-y+1/2,z'
'x+1/2,y+1/2,-z'
'y,-x+1/2,z'
'-y,x+1/2,-z'
'x+1/2,-y,-z'
'-x+1/2,y,z'
'-y,-x,-z'
'y,x,z'
'-x,y+1/2,-z'
'x,-y+1/2,z'
'y+1/2,x+1/2,-z'
'-y+1/2,-x+1/2,z'
loop_
_atom_site_label
_atom_site_type_symbol
_atom_site_fract_x
_atom_site_fract_y
_atom_site_fract_z
_atom_site_occupancy
Ce1 Ce 0.250 0.250 0.237 1
Sb1 Sb 0.250 0.750 0.500 1
Br1 Br 0.250 0.250 0.877 1
# Uncorrected formation energy = -327 kJ/mol of formula units
# DFT total energy = -5.038 eV/atom
# Fermi-level density of states = 8.4 states/eV/f.u.

=====

2.
# PBE Ce4Sb3Br4, relaxed
data_Ce4Sb3Br4
_symmetry_space_group_name_H-M 'I m m m'
_symmetry_Int_Tables_number 71
_symmetry_space_group_name_Hall '-I 2 2'
_cell_length_a 4.221
_cell_length_b 9.021
_cell_length_c 17.189
_cell_angle_alpha 90.00
_cell_angle_beta 90.00
_cell_angle_gamma 90.00
loop_
_atom_site_label
_atom_site_type_symbol
_atom_site_fract_x
_atom_site_fract_y
_atom_site_fract_z
_atom_site_occupancy
Ce1 Ce 0.000 0.000 0.235 1
Ce2 Ce 0.000 0.230 0.000 1
Sb1 Sb 0.000 0.000 0.500 1
Sb2 Sb 0.000 0.500 0.405 1
Br1 Br 0.000 0.315 0.175 1
# Uncorrected formation energy = -1335 kJ/mol of formula units
# DFT total energy = -5.149 eV/atom
# Fermi-level density of states = 24.0 states/eV/f.u.